Record 1
RhWF2: single point on PBEsol structure, SCAN.

Geometry as POSCAR:
```
RhWF2
1.0
0.000 2.864 2.864
2.864 0.000 2.864
2.864 2.864 0.000
Rh W F
1 1 2
Direct
0.000 0.000 0.000
0.500 0.500 0.500
0.250 0.250 0.250
0.750 0.750 0.750
```

Calculated values
* ΔE_f (raw): 1.6 eV/f.u.
* SG: Fm-3m, No. 225
* calculated volume: 47.0 Å³ per cell
* magnetic moment: 0.0 μB/f.u.
* VASP energy: -108.99 eV per formula unit



Record 2
NiAg2Br: single point on PBEsol structure, SCAN.

Geometry as POSCAR:
```
NiAg2Br
1.0
2.662 -3.996 0.000
2.662 3.996 0.000
0.000 0.000 3.202
Ni Ag Br
1 2 1
Direct
0.000 0.000 0.000
0.000 0.500 0.500
0.500 0.000 0.500
0.500 0.500 0.000
```

Calculated values
* energy above the lowest structure with this stoichiometry: 342 meV/atom
* ΔE_f (raw): 2.1 eV/f.u.
* SG: Cmmm, No. 65
* calculated volume: 68.1 Å³ per cell
* magnetic moment: 0.0 μB/f.u.
* VASP energy: -96.26 eV per formula unit



Record 3
SiNi6W: single point on PBEsol structure, SCAN.

Geometry as POSCAR:
```
SiNi6W
1.0
3.520 -5.003 0.000
3.520 5.003 0.000
0.000 0.000 10.000
Si Ni W
4 24 4
Direct
0.000 0.000 0.245
0.000 0.000 0.755
0.256 0.744 0.000
0.744 0.256 0.000
0.000 0.000 0.000
0.000 0.000 0.500
0.122 0.370 0.373
0.122 0.370 0.627
0.123 0.374 0.123
0.123 0.374 0.877
0.249 0.751 0.248
0.249 0.751 0.752
0.370 0.122 0.373
0.370 0.122 0.627
0.374 0.123 0.123
0.374 0.123 0.877
0.500 0.500 0.000
0.500 0.500 0.500
0.626 0.877 0.123
0.626 0.877 0.877
0.630 0.878 0.373
0.630 0.878 0.627
0.751 0.249 0.248
0.751 0.249 0.752
0.877 0.626 0.123
0.877 0.626 0.877
0.878 0.630 0.373
0.878 0.630 0.627
0.256 0.744 0.500
0.500 0.500 0.244
0.500 0.500 0.756
0.744 0.256 0.500
```

Calculated values
* ΔE_f (raw): -1.3 eV/f.u.
* SG: Cmmm, No. 65
* calculated volume: 352.3 Å³ per cell
* magnetic moment: 0.0 μB/f.u.
* VASP energy: -178.07 eV per formula unit



Record 4
CaTa2Cd: single point on PBEsol structure, SCAN.

Geometry as POSCAR:
```
CaTa2Cd
1.0
3.454 0.000 0.000
0.000 3.454 0.000
0.000 0.000 7.350
Ca Ta Cd
1 2 1
Direct
0.000 0.000 0.000
0.000 0.000 0.539
0.500 0.500 0.699
0.500 0.500 0.291
```

Calculated values
* SG: P4mm, No. 99
* calculated volume: 87.7 Å³ per cell
* magnetic moment: 0.0 μB/f.u.
* VASP energy: -172.16 eV per formula unit
* ΔE_f: 0.271 eV per atom



Record 5
Be2AlFe: single point on PBEsol structure, SCAN.

Geometry as POSCAR:
```
Be2AlFe
1.0
3.460 0.000 0.000
0.000 3.460 0.000
0.000 0.000 3.377
Be Al Fe
2 1 1
Direct
0.000 0.500 0.000
0.500 0.000 0.000
0.000 0.000 0.500
0.500 0.500 0.500
```

Calculated values
* SG: P4/mmm, No. 123
* calculated volume: 40.4 Å³ per cell
* magnetic moment: 2.0 μB/f.u.
* VASP energy: -35.30 eV per formula unit
* ΔE_f: -0.177 eV per atom



Record 6
BiH2Au2: single point on PBEsol structure, SCAN.

Geometry as POSCAR:
```
BiH2Au2
1.0
7.869 0.000 0.000
0.000 7.869 0.000
0.000 0.000 2.903
Bi H Au
2 4 4
Direct
0.000 0.000 0.000
0.500 0.500 0.000
0.035 0.465 0.500
0.465 0.965 0.500
0.535 0.035 0.500
0.965 0.535 0.500
0.237 0.263 0.000
0.263 0.763 0.000
0.737 0.237 0.000
0.763 0.737 0.000
```

Calculated values
* SG: P4/mbm, No. 127
* calculated volume: 179.7 Å³ per cell
* magnetic moment: 0.0 μB/f.u.
* VASP energy: -222.43 eV per formula unit



Record 7
RbCuBi3: single point on PBEsol structure, SCAN.

Geometry as POSCAR:
```
RbCuBi3
1.0
5.369 0.000 0.000
0.000 5.369 0.000
0.000 0.000 5.369
Rb Cu Bi
1 1 3
Direct
0.000 0.000 0.000
0.500 0.500 0.500
0.000 0.500 0.500
0.500 0.000 0.500
0.500 0.500 0.000
```

Calculated values
* SG: Pm-3m, No. 221
* calculated volume: 154.8 Å³ per cell
* magnetic moment: 0.0 μB/f.u.
* VASP energy: -271.17 eV per formula unit
* ΔE_f: 0.102 eV per atom



Record 8
LaTaTl2: single point on PBEsol structure, SCAN.

Geometry as POSCAR:
```
LaTaTl2
1.0
1.603 0.925 10.561
-1.603 0.925 10.561
0.000 -1.851 10.561
La Ta Tl
1 1 2
Direct
0.000 0.000 0.000
0.500 0.500 0.500
0.243 0.243 0.243
0.757 0.757 0.757
```

Calculated values
* SG: R-3m, No. 166
* calculated volume: 94.0 Å³ per cell
* magnetic moment: 0.0 μB/f.u.
* VASP energy: -253.48 eV per formula unit
* ΔE_f: 0.232 eV per atom



Record 9
Ca3AsRh: single point on PBEsol structure, SCAN.

Geometry as POSCAR:
```
Ca3AsRh
1.0
5.363 0.000 0.000
0.000 5.363 0.000
0.000 0.000 5.363
Ca As Rh
3 1 1
Direct
0.000 0.000 0.500
0.000 0.500 0.000
0.500 0.000 0.000
0.000 0.000 0.000
0.500 0.500 0.500
```

Calculated values
* SG: Pm-3m, No. 221
* calculated volume: 154.3 Å³ per cell
* magnetic moment: 0.1 μB/f.u.
* VASP energy: -83.72 eV per formula unit
* ΔE_f: -0.153 eV per atom



Record 10
LiFeIr: single point on PBEsol structure, SCAN.

Geometry as POSCAR:
```
LiFeIr
1.0
2.633 0.000 0.000
-1.316 2.280 0.000
0.000 0.000 6.561
Li Fe Ir
1 1 1
Direct
0.000 0.000 0.000
0.333 0.667 0.654
0.667 0.333 0.341
```

Calculated values
* SG: P3m1, No. 156
* calculated volume: 39.4 Å³ per cell
* magnetic moment: 3.0 μB/f.u.
* VASP energy: -91.77 eV per formula unit
* ΔE_f: -0.049 eV per atom



Record 11
K4Hf3MnP6O24: single point on PBEsol structure, SCAN.

Geometry as POSCAR:
```
K4Hf3MnP6O24
1.0
10.201 0.000 0.000
0.000 10.156 0.000
-0.010 0.000 10.214
K Hf Mn P O
8 6 2 12 48
Direct
0.040 0.000 0.319
0.173 0.730 0.926
0.302 0.361 0.445
0.430 0.108 0.779
0.570 0.608 0.221
0.698 0.861 0.555
0.827 0.230 0.074
0.960 0.500 0.681
0.160 0.388 0.088
0.333 0.715 0.587
0.393 0.941 0.144
0.607 0.441 0.856
0.667 0.215 0.413
0.840 0.888 0.912
0.099 0.153 0.644
0.901 0.653 0.356
0.018 0.840 0.626
0.126 0.068 0.959
0.210 0.677 0.271
0.286 0.429 0.773
0.379 0.026 0.459
0.475 0.263 0.129
0.525 0.763 0.871
0.621 0.526 0.541
0.714 0.929 0.227
0.790 0.177 0.729
0.874 0.568 0.041
0.982 0.340 0.374
0.003 0.981 0.578
0.007 0.500 0.016
0.040 0.323 0.232
0.054 0.241 0.461
0.075 0.738 0.266
0.111 0.212 0.004
0.165 0.802 0.640
0.173 0.058 0.819
0.204 0.328 0.702
0.219 0.544 0.198
0.225 0.996 0.052
0.248 0.449 0.919
0.259 0.652 0.413
0.266 0.565 0.706
0.285 0.097 0.549
0.312 0.767 0.201
0.330 0.025 0.315
0.334 0.309 0.155
0.405 0.881 0.501
0.433 0.390 0.769
0.444 0.781 0.745
0.459 0.850 0.977
0.476 0.119 0.082
0.486 0.596 0.535
0.514 0.096 0.465
0.524 0.619 0.918
0.541 0.350 0.023
0.556 0.281 0.255
0.567 0.890 0.231
0.595 0.381 0.499
0.666 0.809 0.845
0.670 0.525 0.685
0.688 0.267 0.799
0.715 0.597 0.451
0.734 0.065 0.294
0.741 0.152 0.587
0.752 0.949 0.081
0.775 0.496 0.948
0.781 0.044 0.802
0.796 0.828 0.298
0.827 0.558 0.181
0.835 0.302 0.360
0.889 0.712 0.996
0.925 0.238 0.734
0.946 0.741 0.539
0.960 0.823 0.768
0.993 0.000 0.984
0.997 0.481 0.422
```

Calculated values
* ΔE_f (raw): -110.6 eV/f.u.
* SG: P2_1, No. 4
* calculated volume: 1058.2 Å³ per cell
* magnetic moment: 5.0 μB/f.u.
* VASP energy: -562.13 eV per formula unit



Record 12
FeTcN2F: single point on PBEsol structure, SCAN.

Geometry as POSCAR:
```
FeTcN2F
1.0
3.812 0.000 0.000
0.000 3.812 0.000
0.000 0.000 3.972
Fe Tc N F
1 1 2 1
Direct
0.000 0.000 0.000
0.500 0.500 0.500
0.000 0.500 0.500
0.500 0.000 0.500
0.500 0.500 0.000
```

Calculated values
* ΔE_f (raw): 0.7 eV/f.u.
* SG: P4/mmm, No. 123
* calculated volume: 57.7 Å³ per cell
* magnetic moment: 3.7 μB/f.u.
* VASP energy: -74.66 eV per formula unit